## HfCrHgO6 (GGA+U)

Data for a relaxed HfCrHgO6 crystal.

Computed properties:
- Calculated volume: 14.23 Å³/atom
- Final energy: -6.84 eV per atom
- Symmetry: C2, No. 5

Geometry as CIF:
```
data_HfCrHgO6
_space_group_name_H-M_alt 'P 1'
_space_group_IT_number 1
_cell_length_a 5.327
_cell_length_b 5.265
_cell_length_c 5.396
_cell_angle_alpha 103.24
_cell_angle_beta 96.50
_cell_angle_gamma 60.39
loop_
_space_group_symop_operation_xyz
'x,y,z'
loop_
_atom_site_label
_atom_site_type_symbol
_atom_site_fract_x
_atom_site_fract_y
_atom_site_fract_z
Hf1 Hf 0.671 0.665 0.500
O1 O 0.007 0.324 0.290
O2 O 0.350 0.563 0.316
O3 O 0.608 0.988 0.291
O4 O 0.608 0.404 0.709
O5 O 0.006 0.669 0.710
O6 O 0.350 0.087 0.684
Cr1 Cr 0.382 0.309 0.500
Hg1 Hg 0.018 0.991 0.000
```